# 1
# CsNpMnS3

Crystalline CsNpMnS3 at its relaxed geometry (PBE, Alexandria via LeMat-Bulk).

Computed properties:
As for the space-group type: P2_1/m. The raw total energy is -7.0379 eV/atom. For the uncorrected formation energy, the calculation gives -1.15 eV per atom. The calculation puts the density of states at the Fermi level at 1.56 states/eV per atom.

Structure (POSCAR):
```
CsNpMnS3
1.0
9.328 0.000 0.000
0.000 4.085 0.000
-3.640 0.000 9.152
Cs Np Mn S
2 2 2 6
direct
0.217 0.250 0.248
0.783 0.750 0.752
0.324 0.750 0.850
0.676 0.250 0.150
0.086 0.250 0.611
0.914 0.750 0.389
0.132 0.250 0.862
0.188 0.750 0.547
0.477 0.750 0.145
0.523 0.250 0.855
0.812 0.250 0.453
0.868 0.750 0.138
```


# 2
# Na5PuPb6

Crystalline Na5PuPb6 at its relaxed geometry (PBE, Alexandria via LeMat-Bulk).

Computed properties:
As for the space-group type: P2/m. The raw total energy is -3.7261 eV/atom. The calculation puts the density of states at the Fermi level at 1.42 states/eV per atom.

Structure (POSCAR):
```
Na5PuPb6
1.0
5.682 0.000 0.000
0.000 7.309 0.000
-2.725 0.000 8.241
Na Pu Pb
5 1 6
direct
0.000 0.000 0.000
0.255 0.000 0.666
0.259 0.500 0.667
0.741 0.500 0.333
0.745 0.000 0.334
0.000 0.500 0.000
0.251 0.257 0.338
0.251 0.743 0.338
0.500 0.250 0.000
0.500 0.750 0.000
0.749 0.257 0.662
0.749 0.743 0.662
```


# 3
# InCoSbI2

Crystalline InCoSbI2 at its relaxed geometry (PBE, Alexandria via LeMat-Bulk).

Computed properties:
As for the energy above the most stable polymorph in this dataset: 799 meV/atom. As for the space-group type: P4/mmm. The raw total energy is -2.4551 eV/atom. For the uncorrected formation energy, the calculation gives 0.96 eV per atom. The calculation puts the density of states at the Fermi level at 1.70 states/eV per atom.

Structure (POSCAR):
```
InCoSbI2
1.0
5.902 0.000 0.000
0.000 5.902 0.000
0.000 0.000 5.781
In Co Sb I
1 1 1 2
direct
0.000 0.000 0.000
0.500 0.500 0.500
0.000 0.000 0.500
0.000 0.500 0.000
0.500 0.000 0.000
```